Computed, not measured: a relaxed structure of KPr2MoO5 at the PBE+U level of DFT.

Density in g cm⁻³: 5.63
Uncorrected energy in eV/atom: -7.13
Size of the total moment in μB per formula unit: 3.00

Cell lengths 6.891, 6.891, 7.863 Å; angles 115.99, 115.99, 90.00 degrees
Each line ends with the local moment (μB).
Element x y z (fractional)
O: 0.744 0.244 0.754  0.01
O: 0.990 0.490 0.246  0.01
O: 0.510 0.744 0.754  0.01
O: 0.244 0.010 0.754  0.01
O: 0.000 0.000 0.000  0.00
O: 0.756 0.990 0.246  0.01
O: 0.256 0.756 0.246  0.01
O: 0.500 0.500 0.000  0.00
O: 0.490 0.256 0.246  0.01
O: 0.010 0.510 0.754  0.01
Pr: 0.179 0.321 0.000  0.03
Pr: 0.821 0.679 0.000  0.03
Pr: 0.679 0.179 0.000  0.03
Pr: 0.321 0.821 0.000  0.03
K: 0.750 0.750 0.500  0.01
K: 0.250 0.250 0.500  0.01
Mo: 0.250 0.750 0.500  2.53
Mo: 0.750 0.250 0.500  2.53